Material: AlReS3
Method: DFT, PBE-GGA
State: relaxed

abc: 4.6623 4.6623 4.6623
angles: 90.00 90.00 90.00
Last column: nearest neighbours and their distance in Å.
Positions (direct):
S: 0.5000 0.0000 0.0000  2 Re 2.33
S: 0.0000 0.5000 0.0000  2 Re 2.33
S: 0.0000 0.0000 0.5000  2 Re 2.33
Al: 0.5000 0.5000 0.5000  12 S 3.30
Re: 0.0000 0.0000 0.0000  6 S 2.33

Computed properties:
As for the total magnetization: 0.000 μB/cell. As for the density of states at the Fermi level: 0.51 states/eV/atom. The final energy is -5.444 eV/atom.

***

Material: AlCdIn
Method: DFT, PBE-GGA
State: relaxed

abc: 8.2026 3.0579 5.8340
angles: 90.03 71.29 90.13
Last column: nearest neighbours and their distance in Å.
Positions (direct):
In: 0.2300 0.0555 0.8537  2 In 3.06, 2 Al 3.06-3.07, 3 Cd 3.13-3.38
In: 0.9727 0.5527 0.4497  4 Al 2.96-3.20, 1 Cd 3.02, 2 In 3.06
Al: 0.8890 0.5515 0.9817  4 Al 2.79-3.06, 4 In 2.96-3.07, 2 Cd 3.04
Al: 0.6618 0.0504 0.3453  4 Al 2.79-3.06, 4 Cd 2.81-3.07
Cd: 0.6137 0.0493 0.8440  4 Al 2.81-3.07, 2 Cd 3.06, 1 In 3.13
Cd: 0.3608 0.5492 0.3109  2 Al 2.96-2.97, 1 In 3.02, 4 Cd 3.06-3.23

Computed properties:
As for the total magnetization: 0.000 μB/cell. As for the density of states at the Fermi level: 0.38 states/eV/atom. The final energy is -2.347 eV/atom. As for the energy relative to the elements: 0.118 eV per atom.

***

Material: CaYAgBr6
Method: DFT, PBE-GGA
State: relaxed

abc: 7.2212 7.2212 12.8959
angles: 90.00 90.00 120.00
Last column: nearest neighbours and their distance in Å.
Positions (direct):
Br: 0.9900 0.3370 0.1260  1 Y 2.82, 1 Ca 2.91, 1 Ag 2.96
Br: 0.3370 0.9900 0.6260  1 Y 2.82, 1 Ca 2.91, 1 Ag 2.96
Br: 0.3370 0.3470 0.8740  1 Y 2.82, 1 Ca 2.91, 1 Ag 2.96
Br: 0.6630 0.6530 0.1260  1 Y 2.82, 1 Ca 2.91, 1 Ag 2.96
Br: 0.6530 0.6630 0.6260  1 Y 2.82, 1 Ca 2.91, 1 Ag 2.96
Br: 0.9900 0.6530 0.3740  1 Y 2.82, 1 Ca 2.91, 1 Ag 2.96
Br: 0.6530 0.9900 0.8740  1 Y 2.82, 1 Ca 2.91, 1 Ag 2.96
Br: 0.3470 0.0100 0.1260  1 Y 2.82, 1 Ca 2.91, 1 Ag 2.96
Br: 0.0100 0.3470 0.6260  1 Y 2.82, 1 Ca 2.91, 1 Ag 2.96
Br: 0.6630 0.0100 0.3740  1 Y 2.82, 1 Ca 2.91, 1 Ag 2.96
Br: 0.0100 0.6630 0.8740  1 Y 2.82, 1 Ca 2.91, 1 Ag 2.96
Br: 0.3470 0.3370 0.3740  1 Y 2.82, 1 Ca 2.91, 1 Ag 2.96
Y: 0.3333 0.6667 0.7500  6 Br 2.82
Y: 0.6667 0.3333 0.2500  6 Br 2.82
Ca: 0.3333 0.6667 0.2500  6 Br 2.91
Ca: 0.6667 0.3333 0.7500  6 Br 2.91
Ag: 0.0000 0.0000 0.5000  6 Br 2.96
Ag: 0.0000 0.0000 0.0000  6 Br 2.96

Computed properties:
As for the total magnetization: 0.000 μB/cell. As for the density of states at the Fermi level: 0.00 states/eV/atom. The final energy is -3.933 eV/atom.

***

> What is the formula in the third record?

CaYAgBr6

***

> Which of these has the lowest final energy?

AlReS3

***

> Among the records above, which one has the highest final energy?

AlCdIn